A geometry-optimized Pa2CoO4 structure. Source: OQMD via LeMat-Bulk, functional GGA+U.

**Energy**: -7.88 eV/atom

a = 6.658 Å, b = 6.658 Å, c = 6.658 Å
α = 120.20°, β = 120.20°, γ = 89.66°
Fractional positions:
Pa 0.000 0.000 0.000
Pa 0.000 0.000 0.500
Pa 0.000 0.500 0.000
Pa 0.500 0.000 0.500
Co 0.375 0.625 0.750
Co 0.625 0.375 0.250
O 0.252 0.260 0.508
O 0.252 0.744 0.992
O 0.256 0.748 0.508
O 0.260 0.252 0.008
O 0.740 0.748 0.992
O 0.744 0.252 0.492
O 0.748 0.256 0.008
O 0.748 0.740 0.492